1.
A plane-wave DFT calculation with PBE was carried out for a relaxed Mo3Se4S2 crystal.

Calculated values
As for the formation energy from raw total energies: -0.736 eV per atom. For the total energy, the calculation gives -61.3 eV/f.u.

a = 3.2774 Å, b = 3.2774 Å, c = 26.1716 Å
α = 90.00°, β = 90.00°, γ = 120.00°
Last column: nearest neighbours and their distance in Å.
Space group P-6m2 (No. 187)
Unique sites:
Mo  0.0000  0.0000  0.0000 x1  6 S 2.44
Mo  0.6667  0.3333  0.2712 x2  6 Se 2.54
Se  0.0000  0.0000  0.2066 x2  3 Mo 2.54
Se  0.0000  0.0000  0.3358 x2  3 Mo 2.54
S  0.6667  0.3333  0.0587 x2  3 Mo 2.44


2.
A plane-wave DFT calculation with PBE was carried out for a relaxed Mn2InGeAs crystal.

Calculated values
The value obtained for the density of states at the Fermi level is 1.5198 states/eV per atom. The formation energy from the elements is 0.95 eV per atom. For the total energy, the calculation gives -25.6 eV/f.u.

a = 4.4557 Å, b = 4.4557 Å, c = 4.9443 Å
α = 90.00°, β = 90.00°, γ = 90.00°
Last column: nearest neighbours and their distance in Å.
Space group P4/mmm (No. 123)
Unique sites:
Mn  0.0000  0.5000  0.0000 x2  2 As 2.23
In  0.0000  0.0000  0.5000 x1  4 Ge 3.15, 8 Mn 3.33
Ge  0.5000  0.5000  0.5000 x1  2 As 2.47
As  0.5000  0.5000  0.0000 x1  4 Mn 2.23, 2 Ge 2.47